Record 1
DFT (PBE) results for crystalline YSiHgGe2 at its relaxed geometry.

The magnetization comes out at 0.000 μB per atom. As for the uncorrected formation energy: 3.090 eV/f.u. Its space-group type is No. 123.

Structure (POSCAR):
```
YSiHgGe2
1.0
5.162 0.000 0.000
0.000 5.162 0.000
0.000 0.000 5.015
Y Ge Si Hg
1 2 1 1
direct
0.500 0.500 0.500
0.000 0.500 0.000
0.500 0.000 0.000
0.000 0.000 0.500
0.000 0.000 0.000
```

Record 2
DFT (PBE) results for crystalline DyCd5Hg5 at its relaxed geometry.

The magnetization comes out at 0.000 μB per atom. Its space-group type is No. 2. The total DFT energy (no corrections) is -11.63 eV/cell.

Structure (POSCAR):
```
DyCd5Hg5
1.0
6.142 -1.492 -0.186
-5.135 5.570 -2.414
-0.279 0.542 10.104
Dy Cd Hg
1 5 5
direct
0.000 0.000 0.000
0.684 0.342 0.355
0.622 0.336 0.838
0.000 0.000 0.500
0.378 0.664 0.162
0.316 0.658 0.645
0.894 0.675 0.181
0.843 0.662 0.664
0.500 0.000 0.000
0.157 0.338 0.336
0.106 0.325 0.819
```

Record 3
DFT (PBE) results for crystalline Nd6Te5Pt at its relaxed geometry.

The magnetization comes out at 0.000 μB per atom. As for the uncorrected formation energy: -16.816 eV/f.u. Its space-group type is No. 12.

Structure (POSCAR):
```
Nd6Te5Pt
1.0
-5.002 -5.830 -1.050
7.183 -0.526 -2.871
1.534 -0.940 7.529
Te Nd Pt
5 6 1
direct
0.821 0.179 0.500
0.664 0.336 0.000
0.500 0.500 0.500
0.336 0.664 0.000
0.179 0.821 0.500
0.383 0.075 0.230
0.925 0.617 0.770
0.229 0.229 0.758
0.771 0.771 0.242
0.075 0.383 0.230
0.617 0.925 0.770
0.000 0.000 0.000
```

Record 4
DFT (PBE) results for crystalline Mg2TaW at its relaxed geometry.

The magnetization comes out at 0.000 μB per atom. Its space-group type is No. 25. The total DFT energy (no corrections) is -26.52 eV/cell.

Structure (POSCAR):
```
Mg2TaW
1.0
-2.578 -0.975 0.224
1.529 -4.146 -0.454
0.671 -0.405 5.952
Mg Ta W
2 1 1
direct
0.000 0.000 0.998
0.500 0.500 0.246
0.000 0.000 0.521
0.500 0.500 0.734
```

Record 5
DFT (PBE) results for crystalline RbScIn2 at its relaxed geometry.

The magnetization comes out at 0.000 μB per atom. Its space-group type is No. 225. The total DFT energy (no corrections) is -12.16 eV/cell.

Structure (POSCAR):
```
RbScIn2
1.0
0.000 3.922 3.922
3.922 0.000 3.922
3.922 3.922 0.000
Sc Rb In
1 1 2
direct
0.000 0.000 0.000
0.500 0.500 0.500
0.250 0.250 0.250
0.750 0.750 0.750
```

Record 6
DFT (PBE) results for crystalline NpAgPdPt at its relaxed geometry.

The magnetization comes out at 0.904 μB per atom. Its space-group type is No. 216. The total DFT energy (no corrections) is -28.03 eV/cell.

Structure (POSCAR):
```
NpAgPdPt
1.0
4.759 0.000 0.000
2.379 4.121 0.000
2.379 1.374 3.886
Np Pd Ag Pt
1 1 1 1
direct
0.750 0.750 0.750
0.000 0.000 0.000
0.250 0.250 0.250
0.500 0.500 0.500
```

Record 7
DFT (PBE) results for crystalline LaPr2Ge at its relaxed geometry.

The magnetization comes out at 0.000 μB per atom. Its space-group type is No. 160. The total DFT energy (no corrections) is -20.09 eV/cell.

Structure (POSCAR):
```
LaPr2Ge
1.0
4.156 0.000 0.000
2.078 3.599 0.000
2.078 1.200 9.376
La Pr Ge
1 2 1
direct
0.501 0.501 0.496
0.061 0.061 0.816
0.272 0.272 0.185
0.666 0.666 0.003
```

Record 8
DFT (PBE) results for crystalline TbYCdAg at its relaxed geometry.

The magnetization comes out at 0.000 μB per atom. Its space-group type is No. 216. The total DFT energy (no corrections) is -16.12 eV/cell.

Structure (POSCAR):
```
TbYCdAg
1.0
-1.591 -1.866 4.626
1.574 -4.732 1.596
3.400 -0.431 3.959
Y Tb Ag Cd
1 1 1 1
direct
0.750 0.750 0.750
0.250 0.250 0.250
0.500 0.500 0.500
0.000 0.000 0.000
```

Record 9
DFT (PBE) results for crystalline GePb at its relaxed geometry.

The magnetization comes out at 0.000 μB per atom. Its space-group type is No. 19. The total DFT energy (no corrections) is -60.07 eV/cell.

Structure (POSCAR):
```
GePb
1.0
8.175 0.000 0.000
0.000 8.225 0.000
0.000 0.000 9.373
Ge Pb
8 8
direct
0.347 0.095 0.043
0.847 0.405 0.957
0.653 0.595 0.457
0.153 0.905 0.543
0.358 0.563 0.762
0.858 0.937 0.238
0.642 0.063 0.738
0.142 0.437 0.262
0.694 0.112 0.030
0.194 0.388 0.970
0.306 0.612 0.470
0.806 0.888 0.530
0.344 0.906 0.793
0.844 0.594 0.207
0.656 0.406 0.707
0.156 0.094 0.293
```

Record 10
DFT (PBE) results for crystalline CoPIr2 at its relaxed geometry.

The magnetization comes out at 0.000 μB per atom. Its space-group type is No. 99. The total DFT energy (no corrections) is -30.23 eV/cell.

Structure (POSCAR):
```
CoPIr2
1.0
-0.774 -2.687 0.246
2.479 -0.809 -1.040
2.456 -0.160 5.979
Co Ir P
1 2 1
direct
0.500 0.500 0.702
0.000 0.000 0.983
0.500 0.500 0.284
0.000 0.000 0.531
```

Record 11
DFT (PBE) results for crystalline BaTiBr3 at its relaxed geometry.

The magnetization comes out at 0.576 μB per atom. As for the uncorrected formation energy: -5.926 eV/f.u. Its space-group type is No. 221.

Structure (POSCAR):
```
BaTiBr3
1.0
-2.231 3.060 3.757
-4.806 -1.924 -1.286
0.617 -3.923 3.562
Ba Br Ti
1 3 1
direct
0.500 0.500 0.500
0.000 0.500 0.000
0.000 0.000 0.500
0.500 0.000 0.000
0.000 0.000 0.000
```

Record 12
DFT (PBE) results for crystalline PuPaNiSe4 at its relaxed geometry.

The magnetization comes out at 0.780 μB per atom. As for the uncorrected formation energy: -7.874 eV/f.u. Its space-group type is No. 11.

Structure (POSCAR):
```
PuPaNiSe4
1.0
6.703 0.000 0.147
0.000 6.038 0.000
-2.426 0.000 7.642
Pu Pa Ni Se
2 2 2 8
direct
0.753 0.750 0.939
0.247 0.250 0.061
0.744 0.750 0.441
0.256 0.250 0.559
0.248 0.750 0.325
0.752 0.250 0.675
0.018 0.510 0.747
0.982 0.010 0.253
0.982 0.490 0.253
0.018 0.990 0.747
0.431 0.750 0.115
0.569 0.250 0.885
0.426 0.750 0.614
0.574 0.250 0.386
```

- What is the formula in the second record?
  DyCd5Hg5